An optimized crystal structure of ScBe2AsO. Source: the Alexandria database, functional PBE.

Computed properties:
Volume = 82.19 Å³/cell
Spin magnetization = 0.0 Bohr magnetons per cell
E_tot = -0.33208 Ry per atom
ΔE_f (raw) = 160 meV per atom
Mass density = 3.11 Mg/m³

Cell lengths 3.872, 5.481, 3.872 Å; angles 90.00, 90.00, 90.00 degrees
Positions (direct):
1 Sc 0.000 0.500 0.000
2 Be 0.500 0.000 0.000
3 As 0.000 0.000 0.000
4 O 0.500 0.500 0.500
5 Be 0.000 0.000 0.500